## Cs2TcTe (GGA-PBE)

Data for crystalline Cs2TcTe at its relaxed geometry. Values from VASP.

Output
Symmetry: I-42d (122)
Distance to the lowest polymorph of the same formula in meV per atom: 0

```
&SYSTEM
  ibrav = 0, nat = 16, ntyp = 3
/
ATOMIC_SPECIES
Cs 132.91 Cs.upf
Tc 98.00 Tc.upf
Te 127.60 Te.upf
ATOMIC_POSITIONS angstrom
Cs 0.098 3.465 0.636
Cs 3.465 7.028 1.909
Cs 3.465 13.764 4.454
Cs 6.833 3.465 3.181
Cs 7.028 10.396 3.181
Cs 10.396 0.098 4.454
Cs 10.396 6.833 1.909
Cs 13.764 10.396 0.636
Tc 0.000 0.000 0.000
Tc 0.000 6.931 1.273
Tc 6.931 0.000 3.818
Tc 6.931 6.931 2.545
Te 0.000 0.000 2.545
Te 0.000 6.931 3.818
Te 6.931 0.000 1.273
Te 6.931 6.931 0.000
CELL_PARAMETERS angstrom
13.861 0.000 0.000
0.000 13.861 0.000
0.000 0.000 5.090
```

## CsTi3Tc (GGA-PBE)

Data for crystalline CsTi3Tc at its relaxed geometry. Values from VASP.

Output
Symmetry: Pm-3m (221)
Formation energy from the elements in eV/atom: 0.84

```
&SYSTEM
  ibrav = 0, nat = 5, ntyp = 3
/
ATOMIC_SPECIES
Cs 132.91 Cs.upf
Ti 47.87 Ti.upf
Tc 98.00 Tc.upf
ATOMIC_POSITIONS angstrom
Cs 0.000 0.000 0.000
Ti 0.000 2.481 2.481
Ti 2.481 0.000 2.481
Ti 2.481 2.481 0.000
Tc 2.481 2.481 2.481
CELL_PARAMETERS angstrom
4.963 0.000 0.000
0.000 4.963 0.000
0.000 0.000 4.963
```

## CsTiTc3 (GGA-PBE)

Data for crystalline CsTiTc3 at its relaxed geometry. Values from VASP.

Output
Symmetry: Pm-3m (221)
Distance to the lowest polymorph of the same formula in meV per atom: 0
Formation energy from the elements in eV/atom: 1.75

```
&SYSTEM
  ibrav = 0, nat = 5, ntyp = 3
/
ATOMIC_SPECIES
Cs 132.91 Cs.upf
Ti 47.87 Ti.upf
Tc 98.00 Tc.upf
ATOMIC_POSITIONS angstrom
Cs 0.000 0.000 0.000
Ti 2.423 2.423 2.423
Tc 0.000 2.423 2.423
Tc 2.423 0.000 2.423
Tc 2.423 2.423 0.000
CELL_PARAMETERS angstrom
4.846 0.000 0.000
0.000 4.846 0.000
0.000 0.000 4.846
```

## CsTiTc2 (GGA-PBE)

Data for crystalline CsTiTc2 at its relaxed geometry. Values from VASP.

Output
Symmetry: Fm-3m (225)
Distance to the lowest polymorph of the same formula in meV per atom: 27
Formation energy from the elements in eV/atom: 1.48

```
&SYSTEM
  ibrav = 0, nat = 16, ntyp = 3
/
ATOMIC_SPECIES
Cs 132.91 Cs.upf
Ti 47.87 Ti.upf
Tc 98.00 Tc.upf
ATOMIC_POSITIONS angstrom
Cs 0.000 0.000 0.000
Cs 0.000 3.329 3.329
Cs 3.329 0.000 3.329
Cs 3.329 3.329 0.000
Ti 0.000 0.000 3.329
Ti 0.000 3.329 0.000
Ti 3.329 0.000 0.000
Ti 3.329 3.329 3.329
Tc 1.664 1.664 1.664
Tc 1.664 1.664 4.993
Tc 1.664 4.993 1.664
Tc 1.664 4.993 4.993
Tc 4.993 1.664 1.664
Tc 4.993 1.664 4.993
Tc 4.993 4.993 1.664
Tc 4.993 4.993 4.993
CELL_PARAMETERS angstrom
6.657 0.000 0.000
0.000 6.657 0.000
0.000 0.000 6.657
```

## CsTiTc3 (GGA-PBE)

Data for crystalline CsTiTc3 at its relaxed geometry. Values from VASP.

Output
Symmetry: Pm-3m (221)
Distance to the lowest polymorph of the same formula in meV per atom: 1249
Formation energy from the elements in eV/atom: 3.00

```
&SYSTEM
  ibrav = 0, nat = 5, ntyp = 3
/
ATOMIC_SPECIES
Cs 132.91 Cs.upf
Ti 47.87 Ti.upf
Tc 98.00 Tc.upf
ATOMIC_POSITIONS angstrom
Cs 0.000 0.000 0.000
Ti 2.408 2.408 2.408
Tc 0.000 0.000 2.408
Tc 0.000 2.408 0.000
Tc 2.408 0.000 0.000
CELL_PARAMETERS angstrom
4.816 0.000 0.000
0.000 4.816 0.000
0.000 0.000 4.816
```

## Cs2Ti2Tc (GGA-PBE)

Data for crystalline Cs2Ti2Tc at its relaxed geometry. Values from VASP.

Output
Symmetry: P4/mbm (127)
Formation energy from the elements in eV/atom: 0.91

```
&SYSTEM
  ibrav = 0, nat = 10, ntyp = 3
/
ATOMIC_SPECIES
Cs 132.91 Cs.upf
Ti 47.87 Ti.upf
Tc 98.00 Tc.upf
ATOMIC_POSITIONS angstrom
Cs 1.223 2.089 0.000
Cs 2.089 5.400 0.000
Cs 4.535 1.223 0.000
Cs 5.400 4.535 0.000
Ti 1.203 4.515 3.487
Ti 2.109 1.203 3.487
Ti 4.515 5.421 3.487
Ti 5.421 2.109 3.487
Tc 0.000 0.000 3.487
Tc 3.312 3.312 3.487
CELL_PARAMETERS angstrom
6.624 0.000 0.000
0.000 6.624 0.000
0.000 0.000 6.974
```

## CsTiTc2 (GGA-PBE)

Data for crystalline CsTiTc2 at its relaxed geometry. Values from VASP.

Output
Symmetry: I-42d (122)
Distance to the lowest polymorph of the same formula in meV per atom: 0
Formation energy from the elements in eV/atom: 1.45

```
&SYSTEM
  ibrav = 0, nat = 16, ntyp = 3
/
ATOMIC_SPECIES
Cs 132.91 Cs.upf
Ti 47.87 Ti.upf
Tc 98.00 Tc.upf
ATOMIC_POSITIONS angstrom
Cs 0.000 0.000 0.000
Cs 0.000 2.497 4.294
Cs 2.497 0.000 12.882
Cs 2.497 2.497 8.588
Ti 0.000 0.000 8.588
Ti 0.000 2.497 12.882
Ti 2.497 0.000 4.294
Ti 2.497 2.497 0.000
Tc 0.219 1.248 10.735
Tc 1.248 2.715 15.030
Tc 1.248 4.775 6.441
Tc 2.278 1.248 2.147
Tc 2.715 3.745 2.147
Tc 3.745 0.219 6.441
Tc 3.745 2.278 15.030
Tc 4.775 3.745 10.735
CELL_PARAMETERS angstrom
4.993 0.000 0.000
0.000 4.993 0.000
0.000 0.000 17.177
```

## CsTl2Tc2 (GGA-PBE)

Data for crystalline CsTl2Tc2 at its relaxed geometry. Values from VASP.

Output
Symmetry: I4/mmm (139)
Distance to the lowest polymorph of the same formula in meV per atom: 56
Formation energy from the elements in eV/atom: 0.78

```
&SYSTEM
  ibrav = 0, nat = 10, ntyp = 3
/
ATOMIC_SPECIES
Cs 132.91 Cs.upf
Tl 204.38 Tl.upf
Tc 98.00 Tc.upf
ATOMIC_POSITIONS angstrom
Cs 0.000 0.000 0.000
Cs 2.700 2.700 4.672
Tl 0.000 2.700 2.336
Tl 0.000 2.700 7.008
Tl 2.700 0.000 2.336
Tl 2.700 0.000 7.008
Tc 0.000 0.000 3.603
Tc 0.000 0.000 5.741
Tc 2.700 2.700 1.069
Tc 2.700 2.700 8.275
CELL_PARAMETERS angstrom
5.401 0.000 0.000
0.000 5.401 0.000
0.000 0.000 9.344
```

## CsTl2Tc2 (GGA-PBE)

Data for crystalline CsTl2Tc2 at its relaxed geometry. Values from VASP.

Output
Symmetry: P4/mbm (127)
Distance to the lowest polymorph of the same formula in meV per atom: 0
Formation energy from the elements in eV/atom: 0.73

```
&SYSTEM
  ibrav = 0, nat = 10, ntyp = 3
/
ATOMIC_SPECIES
Cs 132.91 Cs.upf
Tl 204.38 Tl.upf
Tc 98.00 Tc.upf
ATOMIC_POSITIONS angstrom
Cs 0.000 0.000 0.000
Cs 4.573 4.573 0.000
Tl 1.648 2.925 1.566
Tl 2.925 7.499 1.566
Tl 6.222 1.648 1.566
Tl 7.499 6.222 1.566
Tc 0.774 5.347 0.000
Tc 3.800 0.774 0.000
Tc 5.347 8.373 0.000
Tc 8.373 3.800 0.000
CELL_PARAMETERS angstrom
9.147 0.000 0.000
0.000 9.147 0.000
0.000 0.000 3.132
```

## CsVTc3 (GGA-PBE)

Data for crystalline CsVTc3 at its relaxed geometry. Values from VASP.

Output
Symmetry: Pm-3m (221)
Distance to the lowest polymorph of the same formula in meV per atom: 0
Formation energy from the elements in eV/atom: 1.68

```
&SYSTEM
  ibrav = 0, nat = 5, ntyp = 3
/
ATOMIC_SPECIES
Cs 132.91 Cs.upf
V 50.94 V.upf
Tc 98.00 Tc.upf
ATOMIC_POSITIONS angstrom
Cs 0.000 0.000 0.000
V 2.381 2.381 2.381
Tc 0.000 2.381 2.381
Tc 2.381 0.000 2.381
Tc 2.381 2.381 0.000
CELL_PARAMETERS angstrom
4.762 0.000 0.000
0.000 4.762 0.000
0.000 0.000 4.762
```

## Cs2VTc (GGA-PBE)

Data for crystalline Cs2VTc at its relaxed geometry. Values from VASP.

Output
Symmetry: Fm-3m (225)
Formation energy from the elements in eV/atom: 2.56

```
&SYSTEM
  ibrav = 0, nat = 16, ntyp = 3
/
ATOMIC_SPECIES
Cs 132.91 Cs.upf
V 50.94 V.upf
Tc 98.00 Tc.upf
ATOMIC_POSITIONS angstrom
Cs 1.826 1.826 1.826
Cs 1.826 1.826 5.479
Cs 1.826 5.479 1.826
Cs 1.826 5.479 5.479
Cs 5.479 1.826 1.826
Cs 5.479 1.826 5.479
Cs 5.479 5.479 1.826
Cs 5.479 5.479 5.479
V 0.000 0.000 0.000
V 0.000 3.653 3.653
V 3.653 0.000 3.653
V 3.653 3.653 0.000
Tc 0.000 0.000 3.653
Tc 0.000 3.653 0.000
Tc 3.653 0.000 0.000
Tc 3.653 3.653 3.653
CELL_PARAMETERS angstrom
7.305 0.000 0.000
0.000 7.305 0.000
0.000 0.000 7.305
```

## CsVTc3 (GGA-PBE)

Data for crystalline CsVTc3 at its relaxed geometry. Values from VASP.

Output
Symmetry: Pm-3m (221)
Distance to the lowest polymorph of the same formula in meV per atom: 1527
Formation energy from the elements in eV/atom: 3.21

```
&SYSTEM
  ibrav = 0, nat = 5, ntyp = 3
/
ATOMIC_SPECIES
Cs 132.91 Cs.upf
V 50.94 V.upf
Tc 98.00 Tc.upf
ATOMIC_POSITIONS angstrom
Cs 0.000 0.000 0.000
V 2.430 2.430 2.430
Tc 0.000 0.000 2.430
Tc 0.000 2.430 0.000
Tc 2.430 0.000 0.000
CELL_PARAMETERS angstrom
4.861 0.000 0.000
0.000 4.861 0.000
0.000 0.000 4.861
```

| no. | calculated volume (Å³/f.u.) |
| --- | --- |
| 1 | 244.5 |
| 2 | 122.2 |
| 3 | 113.8 |
| 4 | 73.8 |
| 5 | 111.7 |
| 6 | 153.0 |
| 7 | 107.1 |
| 8 | 136.3 |
| 9 | 131.0 |
| 10 | 108.0 |
| 11 | 97.5 |
| 12 | 114.8 |